Entry 1:
The following is a PBE-GGA calculation of an optimized crystal structure of CaNpIrRh, from Alexandria via LeMat-Bulk.

## Properties
Size of the total moment   3.0 μB per cell
Total energy   -8.0809 eV/atom
Calculated volume   19.68 Å³/atom
Formation energy   -0.292 eV per atom
Space group   No. 216

Cell: 4.810 4.810 4.810 Å, 60.00 60.00 60.00°
Atoms (fractional coordinates):
Ca (0.000, 0.000, 0.000)
Np (0.500, 0.500, 0.500)
Ir (0.750, 0.750, 0.750)
Rh (0.250, 0.250, 0.250)

***

Entry 2:
The following is a PBE-GGA calculation of an optimized crystal structure of Pr8Tl2In3, from Alexandria via LeMat-Bulk.

## Properties
Size of the total moment   0.4 μB per cell
Total energy   -4.1285 eV/atom
Calculated volume   33.39 Å³/atom
Formation energy   -0.191 eV per atom
Space group   No. 12

Cell: 9.514 9.514 5.768 Å, 90.02 90.02 56.23°
Atoms (fractional coordinates):
Pr (0.104, 0.104, 0.000)
Pr (0.178, 0.594, 0.500)
Pr (0.313, 0.313, 0.999)
Pr (0.406, 0.822, 0.500)
Pr (0.594, 0.178, 0.500)
Pr (0.687, 0.687, 0.001)
Pr (0.822, 0.406, 0.500)
Pr (0.896, 0.896, 0.000)
Tl (0.223, 0.223, 0.499)
Tl (0.777, 0.777, 0.501)
In (0.000, 0.000, 0.500)
In (0.330, 0.670, 0.000)
In (0.670, 0.330, 0.000)

***

Entry 3:
The following is a PBE-GGA calculation of an optimized crystal structure of Ce4TeOs, from Alexandria via LeMat-Bulk.

## Properties
Size of the total moment   3.0 μB per cell
Total energy   -6.7315 eV/atom
Calculated volume   27.51 Å³/atom
Energy relative to the elements, uncorrected   -0.380 eV/atom
Space group   No. 12

Cell: 4.608 4.608 8.160 Å, 90.29 90.29 72.34°
Atoms (fractional coordinates):
Ce (0.123, 0.123, 0.319)
Ce (0.352, 0.352, 0.880)
Ce (0.648, 0.648, 0.120)
Ce (0.877, 0.877, 0.681)
Te (0.500, 0.500, 0.500)
Os (0.000, 0.000, 0.000)

***

Entry 4:
The following is a PBE-GGA calculation of an optimized crystal structure of PmInSb2, from Alexandria via LeMat-Bulk.

## Properties
Size of the total moment   0.0 μB per cell
Total energy   -4.2707 eV/atom
Calculated volume   28.80 Å³/atom
Energy relative to the elements, uncorrected   -0.337 eV/atom
Space group   No. 225
ΔE to the lowest computed polymorph   207.3 meV per atom

Cell: 5.462 5.462 5.462 Å, 60.00 60.00 60.00°
Atoms (fractional coordinates):
Pm (0.000, 0.000, 0.000)
In (0.500, 0.500, 0.500)
Sb (0.250, 0.250, 0.250)
Sb (0.750, 0.750, 0.750)

***

Entry 5:
The following is a PBE-GGA calculation of an optimized crystal structure of SiAgSb2, from Alexandria via LeMat-Bulk.

## Properties
Size of the total moment   0.0 μB per cell
Total energy   -3.8400 eV/atom
Calculated volume   24.14 Å³/atom
Energy relative to the elements, uncorrected   0.290 eV/atom
Space group   No. 99

Cell: 3.704 3.704 7.039 Å, 90.00 90.00 90.00°
Atoms (fractional coordinates):
Si (0.000, 0.000, 0.000)
Ag (0.500, 0.500, 0.221)
Sb (0.000, 0.000, 0.399)
Sb (0.500, 0.500, 0.823)

***

Entry 6:
The following is a PBE-GGA calculation of an optimized crystal structure of HgTe2NCl, from Alexandria via LeMat-Bulk.

## Properties
Size of the total moment   3.3 μB per cell
Total energy   -2.1278 eV/atom
Calculated volume   29.12 Å³/atom
Energy relative to the elements, uncorrected   1.224 eV/atom
Space group   No. 123

Cell: 6.056 6.056 3.970 Å, 90.00 90.00 90.00°
Atoms (fractional coordinates):
Hg (0.000, 0.000, 0.000)
Te (0.000, 0.500, 0.000)
Te (0.500, 0.000, 0.000)
N (0.000, 0.000, 0.500)
Cl (0.500, 0.500, 0.500)

***

Entry 7:
The following is a PBE-GGA calculation of an optimized crystal structure of NdHgPb3, from Alexandria via LeMat-Bulk.

## Properties
Size of the total moment   0.0 μB per cell
Total energy   -3.4247 eV/atom
Calculated volume   29.92 Å³/atom
Formation energy   -0.186 eV per atom
Space group   No. 1
ΔE to the lowest computed polymorph   0.0 meV per atom

Cell: 3.739 4.858 8.600 Å, 73.75 85.99 89.77°
Atoms (fractional coordinates):
Nd (0.000, 0.000, 0.000)
Hg (0.210, 0.195, 0.609)
Pb (0.408, 0.392, 0.210)
Pb (0.547, 0.595, 0.809)
Pb (0.785, 0.789, 0.412)

***

Entry 8:
The following is a PBE-GGA calculation of an optimized crystal structure of KCuH2, from Alexandria via LeMat-Bulk.

## Properties
Size of the total moment   0.0 μB per cell
Total energy   -3.0808 eV/atom
Calculated volume   13.97 Å³/atom
Space group   No. 62
ΔE to the lowest computed polymorph   1.1 meV per atom

Cell: 5.410 5.470 7.553 Å, 90.00 90.00 90.00°
Atoms (fractional coordinates):
K (0.037, 0.250, 0.124)
K (0.463, 0.750, 0.624)
K (0.537, 0.250, 0.376)
K (0.963, 0.750, 0.876)
Cu (0.025, 0.250, 0.629)
Cu (0.475, 0.750, 0.129)
Cu (0.525, 0.250, 0.871)
Cu (0.975, 0.750, 0.371)
H (0.000, 0.000, 0.500)
H (0.000, 0.500, 0.500)
H (0.186, 0.750, 0.210)
H (0.314, 0.250, 0.710)
H (0.500, 0.000, 0.000)
H (0.500, 0.500, 0.000)
H (0.686, 0.750, 0.290)
H (0.814, 0.250, 0.790)

***

Entry 9:
The following is a PBE-GGA calculation of an optimized crystal structure of TeP2Cl, from Alexandria via LeMat-Bulk.

## Properties
Size of the total moment   0.0 μB per cell
Total energy   -4.0463 eV/atom
Calculated volume   32.27 Å³/atom
Energy relative to the elements, uncorrected   -0.094 eV/atom
Space group   No. 8
ΔE to the lowest computed polymorph   3.0 meV per atom

Cell: 6.326 6.326 6.508 Å, 90.80 90.80 29.70°
Atoms (fractional coordinates):
Te (0.000, 0.000, 0.000)
P (0.366, 0.366, 0.381)
P (0.815, 0.815, 0.158)
Cl (0.223, 0.223, 0.557)

***

Entry 10:
The following is a PBE-GGA calculation of an optimized crystal structure of Bi, from Alexandria via LeMat-Bulk.

## Properties
Size of the total moment   0.0 μB per cell
Total energy   -3.8344 eV/atom
Calculated volume   35.13 Å³/atom
Formation energy   0.047 eV per atom
Space group   No. 221
ΔE to the lowest computed polymorph   46.6 meV per atom

Cell: 3.275 3.275 3.275 Å, 90.00 90.00 90.00°
Atoms (fractional coordinates):
Bi (0.000, 0.000, 0.000)

***

Entry 11:
The following is a PBE-GGA calculation of an optimized crystal structure of Bi2B3HO8, from Alexandria via LeMat-Bulk.

## Properties
Size of the total moment   0.0 μB per cell
Total energy   -6.9448 eV/atom
Calculated volume   12.37 Å³/atom
Space group   No. 61

Cell: 6.146 11.571 19.478 Å, 90.00 90.00 90.00°
Atoms (fractional coordinates):
Bi (0.197, 0.093, 0.194)
Bi (0.197, 0.407, 0.694)
Bi (0.201, 0.157, 0.821)
Bi (0.201, 0.343, 0.321)
Bi (0.299, 0.657, 0.821)
Bi (0.299, 0.843, 0.321)
Bi (0.303, 0.593, 0.194)
Bi (0.303, 0.907, 0.694)
Bi (0.697, 0.093, 0.306)
Bi (0.697, 0.407, 0.806)
Bi (0.701, 0.157, 0.679)
Bi (0.701, 0.343, 0.179)
Bi (0.799, 0.657, 0.679)
Bi (0.799, 0.843, 0.179)
Bi (0.803, 0.593, 0.306)
Bi (0.803, 0.907, 0.806)
B (0.041, 0.202, 0.045)
B (0.041, 0.298, 0.545)
B (0.152, 0.653, 0.564)
B (0.152, 0.847, 0.064)
B (0.229, 0.075, 0.449)
B (0.229, 0.425, 0.949)
B (0.271, 0.575, 0.449)
B (0.271, 0.925, 0.949)
B (0.348, 0.153, 0.564)
B (0.348, 0.347, 0.064)
B (0.459, 0.702, 0.045)
B (0.459, 0.798, 0.545)
B (0.541, 0.202, 0.455)
B (0.541, 0.298, 0.955)
B (0.652, 0.653, 0.936)
B (0.652, 0.847, 0.436)
B (0.729, 0.075, 0.051)
B (0.729, 0.425, 0.551)
B (0.771, 0.575, 0.051)
B (0.771, 0.925, 0.551)
B (0.848, 0.153, 0.936)
B (0.848, 0.347, 0.436)
B (0.959, 0.702, 0.455)
B (0.959, 0.798, 0.955)
H (0.033, 0.021, 0.563)
H (0.033, 0.479, 0.063)
H (0.467, 0.521, 0.563)
H (0.467, 0.979, 0.063)
H (0.533, 0.021, 0.937)
H (0.533, 0.479, 0.437)
H (0.967, 0.521, 0.937)
H (0.967, 0.979, 0.437)
O (0.013, 0.211, 0.266)
O (0.013, 0.289, 0.766)
O (0.032, 0.204, 0.976)
O (0.032, 0.296, 0.476)
O (0.078, 0.594, 0.624)
O (0.078, 0.906, 0.124)
O (0.085, 0.015, 0.408)
O (0.085, 0.485, 0.908)
O (0.086, 0.017, 0.757)
O (0.086, 0.483, 0.257)
O (0.115, 0.642, 0.415)
O (0.115, 0.858, 0.915)
O (0.194, 0.246, 0.585)
O (0.194, 0.254, 0.085)
O (0.226, 0.069, 0.519)
O (0.226, 0.431, 0.019)
O (0.274, 0.569, 0.519)
O (0.274, 0.931, 0.019)
O (0.306, 0.746, 0.585)
O (0.306, 0.754, 0.085)
O (0.385, 0.142, 0.415)
O (0.385, 0.358, 0.915)
O (0.414, 0.517, 0.757)
O (0.414, 0.983, 0.257)
O (0.415, 0.515, 0.408)
O (0.415, 0.985, 0.908)
O (0.422, 0.094, 0.624)
O (0.422, 0.406, 0.124)
O (0.468, 0.704, 0.976)
O (0.468, 0.796, 0.476)
O (0.487, 0.711, 0.266)
O (0.487, 0.789, 0.766)
O (0.513, 0.211, 0.234)
O (0.513, 0.289, 0.734)
O (0.532, 0.204, 0.524)
O (0.532, 0.296, 0.024)
O (0.578, 0.594, 0.876)
O (0.578, 0.906, 0.376)
O (0.585, 0.015, 0.092)
O (0.585, 0.485, 0.592)
O (0.586, 0.017, 0.743)
O (0.586, 0.483, 0.243)
O (0.615, 0.642, 0.085)
O (0.615, 0.858, 0.585)
O (0.694, 0.246, 0.915)
O (0.694, 0.254, 0.415)
O (0.726, 0.069, 0.981)
O (0.726, 0.431, 0.481)
O (0.774, 0.569, 0.981)
O (0.774, 0.931, 0.481)
O (0.806, 0.746, 0.915)
O (0.806, 0.754, 0.415)
O (0.885, 0.142, 0.085)
O (0.885, 0.358, 0.585)
O (0.914, 0.517, 0.743)
O (0.914, 0.983, 0.243)
O (0.915, 0.515, 0.092)
O (0.915, 0.985, 0.592)
O (0.922, 0.094, 0.876)
O (0.922, 0.406, 0.376)
O (0.968, 0.704, 0.524)
O (0.968, 0.796, 0.024)
O (0.987, 0.711, 0.234)
O (0.987, 0.789, 0.734)

***

Entry 12:
The following is a PBE-GGA calculation of an optimized crystal structure of SrLa2CdPt, from Alexandria via LeMat-Bulk.

## Properties
Size of the total moment   0.0 μB per cell
Total energy   -2.9817 eV/atom
Calculated volume   36.48 Å³/atom
Formation energy   0.717 eV per atom
Space group   No. 123

Cell: 5.964 5.964 5.128 Å, 90.00 90.00 90.00°
Atoms (fractional coordinates):
Sr (0.000, 0.000, 0.000)
La (0.000, 0.500, 0.000)
La (0.500, 0.000, 0.000)
Cd (0.500, 0.500, 0.500)
Pt (0.000, 0.000, 0.500)

***

Entry 13:
The following is a PBE-GGA calculation of an optimized crystal structure of SrOs, from Alexandria via LeMat-Bulk.

## Properties
Size of the total moment   0.3 μB per cell
Total energy   -6.3030 eV/atom
Calculated volume   32.92 Å³/atom
Formation energy   0.153 eV per atom
Space group   No. 166

Cell: 8.898 8.898 8.898 Å, 27.40 27.40 27.40°
Atoms (fractional coordinates):
Sr (0.089, 0.089, 0.089)
Sr (0.911, 0.911, 0.911)
Os (0.333, 0.333, 0.333)
Os (0.667, 0.667, 0.667)

***

Entry 14:
The following is a PBE-GGA calculation of an optimized crystal structure of AcZrSc, from Alexandria via LeMat-Bulk.

## Properties
Size of the total moment   0.0 μB per cell
Total energy   -6.1304 eV/atom
Calculated volume   29.73 Å³/atom
Formation energy   0.199 eV per atom
Space group   No. 107
ΔE to the lowest computed polymorph   0.0 meV per atom

Cell: 7.940 7.940 7.940 Å, 155.02 155.02 35.62°
Atoms (fractional coordinates):
Ac (0.000, 0.000, 0.000)
Zr (0.324, 0.324, 0.000)
Sc (0.689, 0.689, 0.000)

***

Entry 15:
The following is a PBE-GGA calculation of an optimized crystal structure of Cr2Ge2H, from Alexandria via LeMat-Bulk.

## Properties
Size of the total moment   5.4 μB per cell
Total energy   -6.1607 eV/atom
Calculated volume   12.09 Å³/atom
Space group   No. 127
ΔE to the lowest computed polymorph   0.0 meV per atom

Cell: 5.530 5.530 3.954 Å, 90.00 90.00 90.00°
Atoms (fractional coordinates):
Cr (0.161, 0.339, 0.000)
Cr (0.339, 0.839, 0.000)
Cr (0.661, 0.161, 0.000)
Cr (0.839, 0.661, 0.000)
Ge (0.162, 0.662, 0.500)
Ge (0.338, 0.162, 0.500)
Ge (0.662, 0.838, 0.500)
Ge (0.838, 0.338, 0.500)
H (0.000, 0.000, 0.000)
H (0.500, 0.500, 0.000)

***

Entry 16:
The following is a PBE-GGA calculation of an optimized crystal structure of Co3Ir, from Alexandria via LeMat-Bulk.

## Properties
Size of the total moment   21.5 μB per cell
Total energy   -7.5279 eV/atom
Calculated volume   12.01 Å³/atom
Formation energy   0.017 eV per atom
Space group   No. 62

Cell: 4.495 8.318 5.141 Å, 90.00 90.00 90.00°
Atoms (fractional coordinates):
Co (0.081, 0.250, 0.129)
Co (0.246, 0.503, 0.874)
Co (0.246, 0.997, 0.874)
Co (0.254, 0.003, 0.374)
Co (0.254, 0.497, 0.374)
Co (0.419, 0.750, 0.629)
Co (0.581, 0.250, 0.371)
Co (0.746, 0.503, 0.626)
Co (0.746, 0.997, 0.626)
Co (0.754, 0.003, 0.126)
Co (0.754, 0.497, 0.126)
Co (0.919, 0.750, 0.871)
Ir (0.078, 0.250, 0.622)
Ir (0.422, 0.750, 0.122)
Ir (0.578, 0.250, 0.878)
Ir (0.922, 0.750, 0.378)

***

Entry 17:
The following is a PBE-GGA calculation of an optimized crystal structure of Er2Zr3N4, from Alexandria via LeMat-Bulk.

## Properties
Size of the total moment   0.0 μB per cell
Total energy   -9.1039 eV/atom
Calculated volume   14.52 Å³/atom
Energy relative to the elements, uncorrected   -1.540 eV/atom
Space group   No. 12

Cell: 5.757 5.757 8.172 Å, 117.40 117.40 33.39°
Atoms (fractional coordinates):
Er (0.103, 0.103, 0.392)
Er (0.897, 0.897, 0.608)
Zr (0.289, 0.289, 0.183)
Zr (0.500, 0.500, 0.000)
Zr (0.711, 0.711, 0.817)
N (0.101, 0.101, 0.903)
N (0.298, 0.298, 0.705)
N (0.702, 0.702, 0.295)
N (0.899, 0.899, 0.097)

***

Entry 18:
The following is a PBE-GGA calculation of an optimized crystal structure of CeZn2F8, from Alexandria via LeMat-Bulk.

## Properties
Size of the total moment   0.0 μB per cell
Total energy   -4.9806 eV/atom
Calculated volume   13.34 Å³/atom
Energy relative to the elements, uncorrected   -2.849 eV/atom
Space group   No. 12

Cell: 5.844 5.844 5.335 Å, 104.14 104.14 56.96°
Atoms (fractional coordinates):
Ce (0.000, 0.000, 0.000)
Zn (0.344, 0.344, 0.492)
Zn (0.656, 0.656, 0.508)
F (0.051, 0.602, 0.733)
F (0.103, 0.103, 0.722)
F (0.398, 0.949, 0.267)
F (0.453, 0.453, 0.245)
F (0.547, 0.547, 0.755)
F (0.602, 0.051, 0.733)
F (0.897, 0.897, 0.278)
F (0.949, 0.398, 0.267)

***

Entry 19:
The following is a PBE-GGA calculation of an optimized crystal structure of YGaFe, from Alexandria via LeMat-Bulk.

## Properties
Size of the total moment   1.8 μB per cell
Total energy   -6.2231 eV/atom
Calculated volume   19.54 Å³/atom
Formation energy   -0.239 eV per atom
Space group   No. 187

Cell: 4.255 4.255 3.738 Å, 90.00 90.00 120.00°
Atoms (fractional coordinates):
Y (0.000, 0.000, 0.000)
Ga (0.333, 0.667, 0.500)
Fe (0.667, 0.333, 0.500)

***

Entry 20:
The following is a PBE-GGA calculation of an optimized crystal structure of BaNdMgSn, from Alexandria via LeMat-Bulk.

## Properties
Size of the total moment   0.0 μB per cell
Total energy   -3.3881 eV/atom
Calculated volume   33.04 Å³/atom
Formation energy   -0.316 eV per atom
Space group   No. 216

Cell: 5.718 5.718 5.718 Å, 60.00 60.00 60.00°
Atoms (fractional coordinates):
Ba (0.000, 0.000, 0.000)
Nd (0.500, 0.500, 0.500)
Mg (0.250, 0.250, 0.250)
Sn (0.750, 0.750, 0.750)